VASP calculation (PBE) on a relaxed structure of Cs3Bi4Sb.

The value obtained for the formation energy (no corrections) is -0.2043 eV/atom. As for the magnetization: 0.000 μB per formula unit. The crystal system is orthorhombic.

The space group is Pmmn (No. 59, origin choice 2) and the conventional cell measures 7.054, 14.287 and 8.093 Å, with angles of 90.00, 90.00 and 90.00 degrees. The inequivalent atoms are Cs at (0.250, 0.000, 0.174), Cs at (0.250, 0.250, 0.517), Bi at (0.011, 0.250, 0.003), Bi at (0.250, 0.646, 0.688) and Sb at (0.250, 0.750, 0.310).

VASP calculation (PBE) on a relaxed structure of Cs2BiSb2.

The value obtained for the formation energy (no corrections) is -0.3145 eV/atom. As for the magnetization: 0.000 μB per formula unit. The crystal system is tetragonal.

The space group is P4/mbm (No. 127) and the conventional cell measures 8.235, 8.235 and 6.242 Å, with angles of 90.00, 90.00 and 90.00 degrees. The inequivalent atoms are Cs at (0.179, 0.321, 0.000), Bi at (0.000, 0.000, 0.500) and Sb at (0.122, 0.622, 0.500).

The highest formation energy (no corrections) belongs to which entry?
Cs3Bi4Sb

Among the records above, which one has the lowest formation energy (no corrections)?
Cs2BiSb2